[1]
{
  "formula": "Ce2Ge3Os2",
  "functional": "PBE",
  "state": "optimized geometry",
  "lattice": [[-2.7200, -3.3111, 0.0407], [4.0224, -0.4866, 3.6393], [-4.8826, 4.0406, 2.4044]],
  "species": ["Os", "Os", "Ce", "Ce", "Ge", "Ge", "Ge"],
  "fractional_positions": [[0.1289, 0.2578, 0.2118], [0.8711, 0.7422, 0.7882], [0.1523, 0.3046, 0.7738], [0.8477, 0.6954, 0.2262], [0.5000, 0.0000, 0.0000], [0.3771, 0.7543, 0.5582], [0.6229, 0.2457, 0.4418]],
  "sg": "No. 12",
  "formation_energy_ev_per_atom": -0.3989,
  "density_g_cm3": 10.84
}


[2]
{
  "formula": "CeGe2Os",
  "functional": "PBE",
  "state": "optimized geometry",
  "lattice": [[-2.5161, 0.0683, -1.8089], [-2.7576, -0.8269, 1.1487], [-3.2843, 8.2319, 2.2236]],
  "species": ["Ge", "Ge", "Ce", "Os"],
  "fractional_positions": [[0.7356, 0.7356, 0.7931], [0.2644, 0.2644, 0.2069], [0.5000, 0.5000, 0.5000], [0.0000, 0.0000, 0.0000]],
  "sg": "No. 166",
  "formation_energy_ev_per_atom": 0.0086,
  "density_g_cm3": 10.59
}


[3]
{
  "formula": "Ce3Ge3Os",
  "functional": "PBE",
  "state": "optimized geometry",
  "lattice": [[-0.7391, 0.1059, -5.7143], [-8.2004, -1.6117, 1.0308], [2.7313, 7.9637, -0.2057]],
  "species": ["Ge", "Ge", "Ge", "Ge", "Ge", "Ge", "Os", "Os", "Ce", "Ce", "Ce", "Ce", "Ce", "Ce"],
  "fractional_positions": [[0.7500, 0.0827, 0.3469], [0.7500, 0.6532, 0.7359], [0.2500, 0.3468, 0.2641], [0.2500, 0.7358, 0.0826], [0.7500, 0.2642, 0.9174], [0.2500, 0.9173, 0.6531], [0.7500, 0.3333, 0.6667], [0.2500, 0.6667, 0.3333], [0.2500, 0.0989, 0.4193], [0.7500, 0.6798, 0.0991], [0.7500, 0.9011, 0.5807], [0.2500, 0.5806, 0.6796], [0.7500, 0.4194, 0.3204], [0.2500, 0.3202, 0.9009]],
  "sg": "No. 176",
  "formation_energy_ev_per_atom": -0.3216,
  "density_g_cm3": 7.77
}


[4]
{
  "formula": "Ce6Ge3Os",
  "functional": "PBE",
  "state": "optimized geometry",
  "lattice": [[-2.3749, 1.9218, -2.6957], [5.8285, -3.7772, -7.8275], [-9.4440, -8.4923, 2.2658]],
  "species": ["Ce", "Ce", "Ce", "Ce", "Ce", "Ce", "Ce", "Ce", "Ce", "Ce", "Ce", "Ce", "Ge", "Ge", "Ge", "Ge", "Ge", "Ge", "Os", "Os"],
  "fractional_positions": [[0.2500, 0.5166, 0.3568], [0.7500, 0.1019, 0.4399], [0.2500, 0.2258, 0.6740], [0.7500, 0.8763, 0.1038], [0.2500, 0.1907, 0.2419], [0.2500, 0.1237, 0.8962], [0.7500, 0.7742, 0.3260], [0.7500, 0.8093, 0.7581], [0.2500, 0.5593, 0.8997], [0.7500, 0.4834, 0.6432], [0.7500, 0.4407, 0.1003], [0.2500, 0.8981, 0.5601], [0.7500, 0.6712, 0.5144], [0.2500, 0.8500, 0.9280], [0.2500, 0.3288, 0.4856], [0.7500, 0.3354, 0.8524], [0.7500, 0.1500, 0.0720], [0.2500, 0.6646, 0.1476], [0.7500, 0.0527, 0.7107], [0.2500, 0.9473, 0.2893]],
  "sg": "No. 11",
  "formation_energy_ev_per_atom": -0.3772,
  "density_g_cm3": 7.91
}


[5]
{
  "formula": "CeGe4Os2",
  "functional": "PBE",
  "state": "optimized geometry",
  "lattice": [[-3.8815, -1.6021, -0.6315], [-0.4825, -1.4193, 6.5665], [-6.9136, 15.6197, 2.8682]],
  "species": ["Ge", "Ge", "Ge", "Ge", "Ge", "Ge", "Ge", "Ge", "Ge", "Ge", "Ge", "Ge", "Ge", "Ge", "Ge", "Ge", "Os", "Os", "Os", "Os", "Os", "Os", "Os", "Os", "Ce", "Ce", "Ce", "Ce"],
  "fractional_positions": [[0.2500, 0.4824, 0.4346], [0.7500, 0.8617, 0.4687], [0.7500, 0.7047, 0.3084], [0.2500, 0.2047, 0.1916], [0.7500, 0.2184, 0.8147], [0.7500, 0.5176, 0.5654], [0.2500, 0.7816, 0.1853], [0.7500, 0.9824, 0.0654], [0.2500, 0.1383, 0.5313], [0.7500, 0.6383, 0.9687], [0.2500, 0.7184, 0.6853], [0.7500, 0.7953, 0.8084], [0.2500, 0.0176, 0.9346], [0.2500, 0.2953, 0.6916], [0.2500, 0.3617, 0.0313], [0.7500, 0.2816, 0.3147], [0.7500, 0.9974, 0.2118], [0.2500, 0.7546, 0.5364], [0.2500, 0.0026, 0.7882], [0.7500, 0.2454, 0.4636], [0.2500, 0.4974, 0.2882], [0.7500, 0.5026, 0.7118], [0.7500, 0.2546, 0.9636], [0.2500, 0.7454, 0.0364], [0.2500, 0.5181, 0.8573], [0.7500, 0.0181, 0.6427], [0.7500, 0.4819, 0.1427], [0.2500, 0.9819, 0.3573]],
  "sg": "No. 62",
  "formation_energy_ev_per_atom": -0.3295,
  "density_g_cm3": 10.88,
  "polymorph_energy_mev_per_atom": 0
}


[6]
{
  "formula": "Ce6GeOs2",
  "functional": "PBE",
  "state": "optimized geometry",
  "lattice": [[6.1233, -0.0800, -0.0774], [1.4106, 8.6419, 2.1066], [1.4106, 2.3855, 8.5691]],
  "species": ["Ce", "Ce", "Ce", "Ce", "Ce", "Ce", "Ce", "Ce", "Ce", "Ce", "Ce", "Ce", "Ge", "Ge", "Os", "Os", "Os", "Os"],
  "fractional_positions": [[0.8206, 0.4950, 0.6709], [0.3206, 0.6709, 0.4950], [0.1794, 0.5050, 0.3291], [0.6832, 0.0055, 0.8271], [0.7227, 0.5557, 0.0553], [0.2227, 0.0553, 0.5557], [0.6794, 0.3291, 0.5050], [0.7773, 0.9447, 0.4443], [0.2773, 0.4443, 0.9447], [0.8168, 0.1729, 0.9945], [0.1832, 0.8271, 0.0055], [0.3168, 0.9945, 0.1729], [0.2500, 0.2479, 0.7521], [0.7500, 0.7521, 0.2479], [0.9986, 0.2536, 0.2464], [0.5014, 0.7536, 0.7464], [0.4986, 0.2464, 0.2536], [0.0014, 0.7464, 0.7536]],
  "sg": "No. 15",
  "formation_energy_ev_per_atom": -0.2699,
  "density_g_cm3": 10.13,
  "polymorph_energy_mev_per_atom": 32
}


[7]
{
  "formula": "Ce5Ge2Os2",
  "functional": "PBE",
  "state": "optimized geometry",
  "lattice": [[-5.7881, 1.9057, 4.4888], [-4.6035, -3.7922, -4.3261], [6.4540, -5.6073, 4.3220]],
  "species": ["Os", "Os", "Os", "Os", "Ce", "Ce", "Ce", "Ce", "Ce", "Ce", "Ce", "Ce", "Ce", "Ce", "Ge", "Ge", "Ge", "Ge"],
  "fractional_positions": [[0.2301, 0.4339, 0.5000], [0.0000, 0.8732, 0.0000], [0.5000, 0.3732, 0.0000], [0.7699, 0.9339, 0.5000], [0.0869, 0.7402, 0.5000], [0.9131, 0.2402, 0.5000], [0.8760, 0.2519, 0.0971], [0.5034, 0.5548, 0.3207], [0.3173, 0.0548, 0.3207], [0.1240, 0.1549, 0.9029], [0.7211, 0.7519, 0.0971], [0.4966, 0.2341, 0.6793], [0.2789, 0.6549, 0.9029], [0.6827, 0.7341, 0.6793], [0.8852, 0.4675, 0.8422], [0.1148, 0.6253, 0.1578], [0.4570, 0.9675, 0.8422], [0.5430, 0.1253, 0.1578]],
  "sg": "No. 46",
  "formation_energy_ev_per_atom": -0.3019,
  "density_g_cm3": 9.14
}


[8]
{
  "formula": "CeGe4Os",
  "functional": "PBE",
  "state": "optimized geometry",
  "lattice": [[6.3650, -0.0045, 0.0051], [0.0037, 6.7032, 1.2037], [-3.1882, -1.4772, 5.4304]],
  "species": ["Ge", "Ge", "Ge", "Ge", "Ge", "Ge", "Ge", "Ge", "Ce", "Ce", "Os", "Os"],
  "fractional_positions": [[0.6806, 0.4111, 0.0997], [0.3619, 0.6451, 0.4926], [0.8694, 0.8549, 0.5075], [0.6381, 0.3549, 0.5074], [0.3194, 0.5889, 0.9003], [0.1306, 0.1451, 0.4925], [0.5805, 0.0891, 0.9001], [0.4195, 0.9109, 0.0999], [0.0950, 0.2498, 0.9999], [0.9050, 0.7502, 0.0001], [0.0000, 0.5000, 0.5000], [0.5000, 0.0000, 0.5000]],
  "sg": "No. 15",
  "formation_energy_ev_per_atom": -0.2407,
  "density_g_cm3": 8.48
}


[9]
{
  "formula": "CeGe6Os5",
  "functional": "PBE",
  "state": "optimized geometry",
  "lattice": [[7.0543, -0.0537, 0.0000], [1.9896, 5.0076, 0.0000], [0.9948, 2.5038, 5.6485]],
  "species": ["Ge", "Ge", "Ge", "Ge", "Ge", "Ge", "Os", "Os", "Os", "Os", "Os", "Ce"],
  "fractional_positions": [[0.6935, 0.4841, 0.6052], [0.2100, 0.3590, 0.0000], [0.7900, 0.6410, 0.0000], [0.3065, 0.5159, 0.3948], [0.3065, 0.9107, 0.6052], [0.6935, 0.0893, 0.3948], [0.0000, 0.6932, 0.6135], [0.0000, 0.3068, 0.3865], [0.5000, 0.1163, 0.7673], [0.5000, 0.8837, 0.2327], [0.5000, 0.5000, 0.0000], [0.0000, 0.0000, 0.0000]],
  "sg": "No. 12",
  "formation_energy_ev_per_atom": 0.0763,
  "density_g_cm3": 12.67
}


[10]
{
  "formula": "Ce3GeOs2",
  "functional": "PBE",
  "state": "optimized geometry",
  "lattice": [[-2.9263, -0.8741, 0.6980], [-1.0105, -0.7235, -5.1422], [4.7263, -14.8917, 1.1664]],
  "species": ["Ce", "Ce", "Ce", "Ce", "Ce", "Ce", "Os", "Os", "Os", "Os", "Ge", "Ge"],
  "fractional_positions": [[0.3249, 0.5000, 0.6743], [0.3351, 0.0000, 0.5000], [0.6751, 0.0000, 0.1743], [0.6649, 0.5000, 0.0000], [0.6751, 0.0000, 0.8257], [0.3249, 0.5000, 0.3257], [0.0499, 0.0000, 0.3375], [0.9501, 0.5000, 0.1625], [0.9501, 0.5000, 0.8375], [0.0499, 0.0000, 0.6625], [0.1756, 0.0000, 0.0000], [0.8244, 0.5000, 0.5000]],
  "sg": "No. 59",
  "formation_energy_ev_per_atom": -0.2273,
  "density_g_cm3": 11.17
}


[11]
{
  "formula": "Ce3GeOs",
  "functional": "PBE",
  "state": "optimized geometry",
  "lattice": [[-2.9754, 2.9281, 1.5005], [-3.4308, -2.2992, 4.2411], [5.9652, 2.0572, 7.8144]],
  "species": ["Ce", "Ce", "Ce", "Ce", "Ce", "Ce", "Ge", "Ge", "Os", "Os"],
  "fractional_positions": [[0.9901, 0.4094, 0.0748], [0.3000, 0.7897, 0.0164], [0.5159, 0.3578, 0.3669], [0.5600, 0.2696, 0.7998], [0.2559, 0.8779, 0.5836], [0.8257, 0.7382, 0.3086], [0.9739, 0.4418, 0.5907], [0.8420, 0.7057, 0.7927], [0.1680, 0.0535, 0.3080], [0.6478, 0.0940, 0.0754]],
  "sg": "No. 12",
  "formation_energy_ev_per_atom": -0.4021,
  "density_g_cm3": 9.38,
  "polymorph_energy_mev_per_atom": 0
}


[12]
{
  "formula": "Ce5GeOs2",
  "functional": "PBE",
  "state": "optimized geometry",
  "lattice": [[5.6122, 0.0000, 0.0000], [-2.8061, 6.4966, 0.0000], [0.0000, 0.0000, 13.6669]],
  "species": ["Os", "Os", "Os", "Os", "Ce", "Ce", "Ce", "Ce", "Ce", "Ce", "Ce", "Ce", "Ce", "Ce", "Ge", "Ge"],
  "fractional_positions": [[0.8516, 0.7031, 0.0549], [0.8516, 0.7031, 0.4451], [0.1484, 0.2969, 0.5549], [0.1484, 0.2969, 0.9451], [0.7767, 0.5535, 0.2500], [0.2233, 0.4465, 0.7500], [0.3367, 0.6734, 0.4461], [0.9519, 0.9037, 0.8778], [0.9519, 0.9037, 0.6222], [0.3367, 0.6734, 0.0539], [0.0481, 0.0963, 0.3778], [0.6633, 0.3266, 0.5539], [0.6633, 0.3266, 0.9461], [0.0481, 0.0963, 0.1222], [0.2298, 0.4596, 0.2500], [0.7702, 0.5404, 0.7500]],
  "sg": "No. 63",
  "formation_energy_ev_per_atom": -0.0717,
  "density_g_cm3": 7.69,
  "polymorph_energy_mev_per_atom": 298
}